DFT (PBE+U) results for an optimized crystal structure of BaMo4O8.

Energy   -6.7042 eV per atom

Structure (CIF):
```
data_BaMo4O8
_cell_length_a 5.9087
_cell_length_b 5.9087
_cell_length_c 7.5477
_cell_angle_alpha 90.00
_cell_angle_beta 90.00
_cell_angle_gamma 120.00
_space_group_name_H-M_alt 'P -3 1 m'
_space_group_IT_number 162
_space_group_name_Hall '-P 3 2'
loop_
_atom_site_label
_atom_site_type_symbol
_atom_site_fract_x
_atom_site_fract_y
_atom_site_fract_z
Ba1 Ba 0.0000 0.0000 0.0000
Mo1 Mo 0.3333 0.6667 0.2657
O1 O 0.0000 0.3356 0.3029
O2 O 0.3333 0.6667 0.0000
```